(1)
HfCuPt: relaxed, PBE-GGA.

Properties
DFT formation energy = -0.76 eV/atom
Total DFT energy (no corrections) = -7.33 eV/atom
Space group = No. 107
Total magnetic moment = 0.00 μB/atom

abc: 4.820 4.820 4.820
angles: 138.33 138.33 60.40
Fractional positions:
Cu  0.333  0.333  0.000
Pt  0.664  0.664  0.000
Hf  0.004  0.004  0.000

(2)
SrNbF7: relaxed, PBE-GGA.

Properties
Total DFT energy (no corrections) = -6.08 eV/atom
Space group = No. 11
Total magnetic moment = 0.00 μB/atom

abc: 4.715 7.048 6.529
angles: 90.00 94.13 90.00
Fractional positions:
F  0.189  0.524  0.795
F  0.688  0.932  0.640
Sr  0.462  0.250  0.679
F  0.811  0.476  0.205
Nb  0.039  0.250  0.210
Sr  0.538  0.750  0.321
F  0.633  0.750  0.952
F  0.312  0.432  0.360
Nb  0.961  0.750  0.790
F  0.189  0.976  0.795
F  0.688  0.568  0.640
F  0.367  0.250  0.048
F  0.082  0.750  0.500
F  0.129  0.750  0.074
F  0.811  0.024  0.205
F  0.871  0.250  0.926
F  0.312  0.068  0.360
F  0.918  0.250  0.500

(3)
Pu2MgCdP4: relaxed, PBE-GGA.

Properties
Total DFT energy (no corrections) = -6.78 eV/atom
Space group = No. 82
Total magnetic moment = 1.00 μB/atom

abc: 7.199 7.199 7.199
angles: 128.74 128.74 75.43
Site moments in Bohr magnetons follow the coordinates.
Fractional positions:
P  0.874  0.889  0.508  -0.21
P  0.111  0.619  0.985  -0.21
P  0.634  0.126  0.015  -0.21
Pu  0.500  0.500  0.000  4.72
Mg  0.750  0.250  0.500  -0.01
Pu  0.250  0.750  0.500  4.72
P  0.381  0.366  0.492  -0.21
Cd  0.000  0.000  0.000  -0.04

(4)
DyHgSb: relaxed, PBE-GGA.

Properties
Total DFT energy (no corrections) = -3.53 eV/atom
Space group = No. 216
Total magnetic moment = 0.00 μB/atom

abc: 5.098 5.098 5.098
angles: 60.00 60.00 60.00
Fractional positions:
Dy  0.000  0.000  0.000
Hg  0.250  0.250  0.250
Sb  0.750  0.750  0.750